In3HgIr after structural relaxation, computed with PBE-GGA.

a = 7.645 Å, b = 7.645 Å, c = 7.630 Å
α = 93.73°, β = 93.73°, γ = 31.47°
Positions (direct):
In: 0.008 0.008 0.307
In: 0.192 0.192 0.859
In: 0.332 0.332 0.510
In: 0.668 0.668 0.490
In: 0.808 0.808 0.141
In: 0.992 0.992 0.693
Hg: 0.410 0.410 0.929
Hg: 0.590 0.590 0.071
Ir: 0.197 0.197 0.244
Ir: 0.803 0.803 0.756

Output
The calculation puts the density at 10.54 g/cm³. The calculation puts the energy above the most stable polymorph in this dataset at 143 meV/atom. Its space group is C2/m (12). The total magnetization comes out at 0.00 μB per cell. For the formation energy, the calculation gives 0.01 eV per atom.


InHgIr2 after structural relaxation, computed with PBE-GGA.

a = 2.981 Å, b = 4.671 Å, c = 5.074 Å
α = 90.00°, β = 90.00°, γ = 90.00°
Positions (direct):
In: 0.000 0.000 0.000
Hg: 0.500 0.000 0.500
Ir: 0.000 0.500 0.500
Ir: 0.500 0.500 0.000

Output
The calculation puts the density at 16.45 g/cm³. The calculation puts the energy above the most stable polymorph in this dataset at 116 meV/atom. Its space group is Pmmm (47). The total magnetization comes out at 0.00 μB per cell. For the formation energy, the calculation gives 0.39 eV per atom.


In3HgIr after structural relaxation, computed with PBE-GGA.

a = 4.170 Å, b = 4.170 Å, c = 6.983 Å
α = 90.00°, β = 90.00°, γ = 90.00°
Positions (direct):
In: 0.000 0.000 0.000
In: 0.000 0.500 0.647
In: 0.500 0.000 0.647
Hg: 0.500 0.500 0.273
Ir: 0.000 0.000 0.381

Output
The calculation puts the density at 10.08 g/cm³. The calculation puts the energy above the most stable polymorph in this dataset at 321 meV/atom. Its space group is P4mm (99). The total magnetization comes out at 0.00 μB per cell. For the formation energy, the calculation gives 0.19 eV per atom.


In2HgIr after structural relaxation, computed with PBE-GGA.

a = 4.248 Å, b = 4.248 Å, c = 8.757 Å
α = 90.00°, β = 90.00°, γ = 90.00°
Positions (direct):
In: 0.000 0.000 0.000
In: 0.000 0.500 0.250
In: 0.500 0.000 0.750
In: 0.500 0.500 0.500
Hg: 0.000 0.000 0.500
Hg: 0.500 0.500 0.000
Ir: 0.000 0.500 0.750
Ir: 0.500 0.000 0.250

Output
The calculation puts the density at 13.08 g/cm³. Its space group is I-4m2 (119). The total magnetization comes out at 0.00 μB per cell. For the formation energy, the calculation gives 0.22 eV per atom.


In3HgIr after structural relaxation, computed with PBE-GGA.

a = 7.927 Å, b = 7.927 Å, c = 9.509 Å
α = 101.10°, β = 101.10°, γ = 23.06°
Positions (direct):
In: 0.040 0.040 0.161
In: 0.232 0.232 0.136
In: 0.416 0.416 0.355
In: 0.584 0.584 0.645
In: 0.768 0.768 0.864
In: 0.960 0.960 0.839
Hg: 0.169 0.169 0.425
Hg: 0.831 0.831 0.575
Ir: 0.394 0.394 0.051
Ir: 0.606 0.606 0.949

Output
The calculation puts the density at 10.67 g/cm³. The calculation puts the energy above the most stable polymorph in this dataset at 175 meV/atom. Its space group is C2/m (12). The total magnetization comes out at 0.00 μB per cell. For the formation energy, the calculation gives 0.04 eV per atom.


In2HgIr after structural relaxation, computed with PBE-GGA.

a = 3.152 Å, b = 3.152 Å, c = 8.726 Å
α = 90.00°, β = 90.00°, γ = 90.00°
Positions (direct):
In: 0.000 0.000 0.000
In: 0.500 0.500 0.303
Hg: 0.500 0.500 0.710
Ir: 0.000 0.000 0.491

Output
The calculation puts the density at 11.92 g/cm³. Its space group is P4mm (99). The total magnetization comes out at 0.00 μB per cell. For the formation energy, the calculation gives 0.19 eV per atom.


InHg2Ir after structural relaxation, computed with PBE-GGA.

a = 4.118 Å, b = 4.118 Å, c = 9.246 Å
α = 90.00°, β = 90.00°, γ = 90.00°
Positions (direct):
In: 0.000 0.000 0.000
In: 0.500 0.500 0.500
Hg: 0.000 0.500 0.250
Hg: 0.000 0.500 0.750
Hg: 0.500 0.000 0.250
Hg: 0.500 0.000 0.750
Ir: 0.000 0.000 0.500
Ir: 0.500 0.500 0.000

Output
The calculation puts the density at 15.00 g/cm³. Its space group is I4/mmm (139). The total magnetization comes out at 0.00 μB per cell. For the formation energy, the calculation gives 0.29 eV per atom.


In3HgIr after structural relaxation, computed with PBE-GGA.

a = 7.282 Å, b = 7.282 Å, c = 7.282 Å
α = 58.50°, β = 58.50°, γ = 58.50°
Positions (direct):
In: 0.097 0.388 0.795
In: 0.205 0.903 0.612
In: 0.388 0.795 0.097
In: 0.612 0.205 0.903
In: 0.795 0.097 0.388
In: 0.903 0.612 0.205
Hg: 0.342 0.342 0.342
Hg: 0.658 0.658 0.658
Ir: 0.184 0.184 0.184
Ir: 0.816 0.816 0.816

Output
The calculation puts the density at 9.28 g/cm³. The calculation puts the energy above the most stable polymorph in this dataset at 181 meV/atom. Its space group is R-3 (148). The total magnetization comes out at 0.00 μB per cell. For the formation energy, the calculation gives 0.05 eV per atom.


InHg2Ir after structural relaxation, computed with PBE-GGA.

a = 5.707 Å, b = 10.188 Å, c = 3.285 Å
α = 90.00°, β = 120.87°, γ = 90.00°
Positions (direct):
In: 0.000 0.000 0.000
In: 0.500 0.500 0.000
Hg: 0.250 0.250 0.000
Hg: 0.250 0.750 0.000
Hg: 0.750 0.250 0.000
Hg: 0.750 0.750 0.000
Ir: 0.000 0.500 0.000
Ir: 0.500 0.000 0.000

Output
The calculation puts the density at 14.35 g/cm³. Its space group is C2/m (12). The total magnetization comes out at 0.00 μB per cell. For the formation energy, the calculation gives 0.31 eV per atom.


In3HgIr after structural relaxation, computed with PBE-GGA.

a = 5.201 Å, b = 7.160 Å, c = 6.729 Å
α = 90.00°, β = 104.11°, γ = 90.00°
Positions (direct):
In: 0.010 0.013 0.289
In: 0.010 0.487 0.289
In: 0.408 0.250 0.061
In: 0.592 0.750 0.939
In: 0.990 0.513 0.711
In: 0.990 0.987 0.711
Hg: 0.481 0.250 0.580
Hg: 0.519 0.750 0.420
Ir: 0.127 0.750 0.033
Ir: 0.873 0.250 0.967

Output
The calculation puts the density at 10.07 g/cm³. The calculation puts the energy above the most stable polymorph in this dataset at 124 meV/atom. Its space group is P2_1/m (11). The total magnetization comes out at 0.00 μB per cell. For the formation energy, the calculation gives -0.01 eV per atom.


In2HgIr after structural relaxation, computed with PBE-GGA.

a = 3.374 Å, b = 4.219 Å, c = 5.760 Å
α = 90.00°, β = 90.00°, γ = 90.00°
Positions (direct):
In: 0.000 0.000 0.000
In: 0.500 0.500 0.316
Hg: 0.500 0.500 0.794
Ir: 0.000 0.000 0.483

Output
The calculation puts the density at 12.61 g/cm³. Its space group is Pmm2 (25). The total magnetization comes out at 0.00 μB per cell. For the formation energy, the calculation gives 0.18 eV per atom.


InHg2Ir after structural relaxation, computed with PBE-GGA.

a = 3.331 Å, b = 3.998 Å, c = 6.889 Å
α = 90.00°, β = 103.62°, γ = 90.00°
Positions (direct):
In: 0.000 0.000 0.000
Hg: 0.337 0.500 0.671
Hg: 0.702 0.000 0.416
Ir: 0.548 0.500 0.099

Output
The calculation puts the density at 13.19 g/cm³. Its space group is Pm (6). The total magnetization comes out at 0.00 μB per cell. For the formation energy, the calculation gives 0.21 eV per atom.


In3HgIr after structural relaxation, computed with PBE-GGA.

a = 4.125 Å, b = 4.125 Å, c = 7.871 Å
α = 90.00°, β = 90.00°, γ = 90.00°
Positions (direct):
In: 0.000 0.000 0.000
In: 0.000 0.500 0.661
In: 0.500 0.000 0.661
Hg: 0.000 0.000 0.356
Ir: 0.500 0.500 0.893

Output
The calculation puts the density at 9.14 g/cm³. The calculation puts the energy above the most stable polymorph in this dataset at 375 meV/atom. Its space group is P4mm (99). The total magnetization comes out at 0.00 μB per cell. For the formation energy, the calculation gives 0.24 eV per atom.


InHg2Ir after structural relaxation, computed with PBE-GGA.

a = 3.109 Å, b = 3.109 Å, c = 8.785 Å
α = 90.00°, β = 90.00°, γ = 90.00°
Positions (direct):
In: 0.000 0.000 0.000
Hg: 0.000 0.000 0.410
Hg: 0.500 0.500 0.703
Ir: 0.500 0.500 0.189

Output
The calculation puts the density at 13.85 g/cm³. Its space group is P4mm (99). The total magnetization comes out at 0.00 μB per cell. For the formation energy, the calculation gives 0.22 eV per atom.


In2HgIr after structural relaxation, computed with PBE-GGA.

a = 4.325 Å, b = 4.325 Å, c = 19.021 Å
α = 90.00°, β = 90.00°, γ = 90.00°
Positions (direct):
In: 0.227 0.250 0.125
In: 0.250 0.727 0.375
In: 0.250 0.773 0.875
In: 0.273 0.250 0.625
In: 0.727 0.750 0.625
In: 0.750 0.227 0.875
In: 0.750 0.273 0.375
In: 0.773 0.750 0.125
Hg: 0.000 0.000 0.500
Hg: 0.000 0.500 0.750
Hg: 0.500 0.000 0.250
Hg: 0.500 0.500 0.000
Ir: 0.000 0.000 0.000
Ir: 0.000 0.500 0.250
Ir: 0.500 0.000 0.750
Ir: 0.500 0.500 0.500

Output
The calculation puts the density at 11.62 g/cm³. Its space group is I-42d (122). The total magnetization comes out at 0.00 μB per cell. For the formation energy, the calculation gives 0.37 eV per atom.


InHgIr2 after structural relaxation, computed with PBE-GGA.

a = 2.999 Å, b = 5.086 Å, c = 9.321 Å
α = 90.00°, β = 90.00°, γ = 90.00°
Positions (direct):
In: 0.000 0.000 0.000
In: 0.500 0.500 0.000
Hg: 0.000 0.000 0.500
Hg: 0.500 0.500 0.500
Ir: 0.000 0.500 0.240
Ir: 0.000 0.500 0.760
Ir: 0.500 0.000 0.240
Ir: 0.500 0.000 0.760

Output
The calculation puts the density at 16.35 g/cm³. The calculation puts the energy above the most stable polymorph in this dataset at 124 meV/atom. Its space group is Cmmm (65). The total magnetization comes out at 0.00 μB per cell. For the formation energy, the calculation gives 0.40 eV per atom.


InHgIr2 after structural relaxation, computed with PBE-GGA.

a = 6.526 Å, b = 6.526 Å, c = 6.526 Å
α = 90.00°, β = 90.00°, γ = 90.00°
Positions (direct):
In: 0.000 0.000 0.000
In: 0.000 0.500 0.500
In: 0.500 0.000 0.500
In: 0.500 0.500 0.000
Hg: 0.000 0.000 0.500
Hg: 0.000 0.500 0.000
Hg: 0.500 0.000 0.000
Hg: 0.500 0.500 0.500
Ir: 0.250 0.250 0.250
Ir: 0.250 0.250 0.750
Ir: 0.250 0.750 0.250
Ir: 0.250 0.750 0.750
Ir: 0.750 0.250 0.250
Ir: 0.750 0.250 0.750
Ir: 0.750 0.750 0.250
Ir: 0.750 0.750 0.750

Output
The calculation puts the density at 16.73 g/cm³. The calculation puts the energy above the most stable polymorph in this dataset at 12 meV/atom. Its space group is Fm-3m (225). The total magnetization comes out at 0.00 μB per cell. For the formation energy, the calculation gives 0.29 eV per atom.


KIn2HgIr after structural relaxation, computed with PBE-GGA.

a = 5.187 Å, b = 5.187 Å, c = 5.441 Å
α = 90.00°, β = 90.00°, γ = 90.00°
Positions (direct):
K: 0.000 0.000 0.000
In: 0.000 0.500 0.500
In: 0.500 0.000 0.500
Hg: 0.500 0.500 0.000
Ir: 0.500 0.500 0.500

Output
The calculation puts the density at 7.51 g/cm³. Its space group is P4/mmm (123). The total magnetization comes out at 0.00 μB per cell. For the formation energy, the calculation gives -0.18 eV per atom.


LiIn2HgIr after structural relaxation, computed with PBE-GGA.

a = 5.180 Å, b = 5.180 Å, c = 4.876 Å
α = 90.00°, β = 90.00°, γ = 90.00°
Positions (direct):
Li: 0.000 0.000 0.000
In: 0.000 0.500 0.500
In: 0.500 0.000 0.500
Hg: 0.500 0.500 0.000
Ir: 0.000 0.000 0.500

Output
The calculation puts the density at 7.99 g/cm³. Its space group is P4/mmm (123). The total magnetization comes out at 0.00 μB per cell. For the formation energy, the calculation gives -0.03 eV per atom.


Mg2InHgIr after structural relaxation, computed with PBE-GGA.

a = 5.042 Å, b = 5.042 Å, c = 5.142 Å
α = 90.00°, β = 90.00°, γ = 90.00°
Positions (direct):
Mg: 0.000 0.500 0.000
Mg: 0.500 0.000 0.000
In: 0.000 0.000 0.500
Hg: 0.500 0.500 0.500
Ir: 0.000 0.000 0.000

Output
The calculation puts the density at 7.07 g/cm³. Its space group is P4/mmm (123). The total magnetization comes out at 0.00 μB per cell. For the formation energy, the calculation gives -0.08 eV per atom.